Ca2IrRu: optimized geometry, PBE-GGA.

Cell lengths 3.036, 4.169, 6.263 Å; angles 90.00, 90.00, 90.00 degrees
Positions (direct):
Ru 0.500 0.500 0.750
Ir 0.500 0.500 0.250
Ca 0.000 0.000 0.003
Ca 0.000 0.000 0.497

Summary:
magnetization	0.22	μB/atom
energy relative to the elements	101	kJ/mol of formula units
DFT total energy	-21.10	eV for the cell shown
Fermi-level density of states	5.0	states/eV/f.u.

CaIrRu2: optimized geometry, PBE-GGA.

Cell lengths 4.591, 2.841, 5.247 Å; angles 79.92, 90.00, 90.00 degrees
Positions (direct):
Ir 0.500 0.750 0.750
Ru 0.000 0.932 0.963
Ru 0.000 0.568 0.537
Ca 0.500 0.250 0.250

Summary:
magnetization	0.00	μB/atom
energy relative to the elements	152	kJ/mol of formula units
DFT total energy	-27.84	eV for the cell shown
Fermi-level density of states	5.9	states/eV/f.u.

Ca2IrRu: optimized geometry, PBE-GGA.

Cell lengths 4.538, 2.988, 5.710 Å; angles 81.69, 90.00, 90.00 degrees
Positions (direct):
Ca 0.000 0.507 0.499
Ca 0.000 0.993 0.001
Ir 0.500 0.250 0.250
Ru 0.500 0.750 0.750

Summary:
magnetization	0.00	μB/atom
energy relative to the elements	117	kJ/mol of formula units
DFT total energy	-20.92	eV for the cell shown
Fermi-level density of states	3.5	states/eV/f.u.

CaIrRu2: optimized geometry, PBE-GGA.

Cell lengths 9.399, 9.399, 9.399 Å; angles 17.43, 17.43, 17.43 degrees
Positions (direct):
Ru 0.998 0.998 0.998
Ru 0.258 0.258 0.258
Ca 0.500 0.500 0.500
Ir 0.744 0.744 0.744

Summary:
magnetization	0.01	μB/atom
energy relative to the elements	171	kJ/mol of formula units
DFT total energy	-27.64	eV for the cell shown
Fermi-level density of states	8.4	states/eV/f.u.

CaIrRu2: optimized geometry, PBE-GGA.

Cell lengths 4.098, 3.990, 3.990 Å; angles 90.00, 90.00, 90.00 degrees
Positions (direct):
Ir 0.500 0.000 0.500
Ru 0.000 0.000 0.000
Ru 0.000 0.500 0.500
Ca 0.500 0.500 0.000

Summary:
magnetization	0.05	μB/atom
energy relative to the elements	167	kJ/mol of formula units
DFT total energy	-27.68	eV for the cell shown
Fermi-level density of states	6.9	states/eV/f.u.

Ca3IrRu: optimized geometry, PBE-GGA.

Cell lengths 5.348, 5.348, 5.348 Å; angles 90.00, 90.00, 90.00 degrees
Positions (direct):
Ca 0.000 0.000 0.500
Ca 0.500 0.000 0.000
Ca 0.000 0.500 0.000
Ru 0.500 0.500 0.500
Ir 0.000 0.000 0.000

Summary:
magnetization	0.25	μB/atom
energy relative to the elements	275	kJ/mol of formula units
DFT total energy	-21.30	eV for the cell shown
Fermi-level density of states	10.4	states/eV/f.u.

CaIrRu2: optimized geometry, PBE-GGA.

Cell lengths 2.845, 2.845, 8.196 Å; angles 90.00, 90.00, 90.00 degrees
Positions (direct):
Ru 0.500 0.500 0.210
Ru 0.000 0.000 0.004
Ca 0.000 0.000 0.502
Ir 0.500 0.500 0.784

Summary:
magnetization	0.00	μB/atom
energy relative to the elements	70	kJ/mol of formula units
DFT total energy	-28.69	eV for the cell shown
Fermi-level density of states	3.3	states/eV/f.u.

CaIrRu: optimized geometry, PBE-GGA.

Cell lengths 4.444, 4.444, 4.444 Å; angles 60.00, 60.00, 60.00 degrees
Positions (direct):
Ru 0.500 0.500 0.500
Ca 0.750 0.750 0.750
Ir 0.000 0.000 0.000

Summary:
magnetization	0.63	μB/atom
energy relative to the elements	403	kJ/mol of formula units
DFT total energy	-15.96	eV for the cell shown
Fermi-level density of states	5.7	states/eV/f.u.

CaIrRu2: optimized geometry, PBE-GGA.

Cell lengths 4.538, 4.538, 4.538 Å; angles 60.00, 60.00, 60.00 degrees
Positions (direct):
Ru 0.000 0.000 0.000
Ru 0.250 0.250 0.250
Ca 0.500 0.500 0.500
Ir 0.750 0.750 0.750

Summary:
magnetization	0.62	μB/atom
energy relative to the elements	185	kJ/mol of formula units
DFT total energy	-27.50	eV for the cell shown
Fermi-level density of states	6.6	states/eV/f.u.

Ca2IrRu: optimized geometry, PBE-GGA.

Cell lengths 3.388, 4.971, 4.547 Å; angles 90.00, 90.00, 90.00 degrees
Positions (direct):
Ca 0.500 0.500 0.000
Ca 0.000 0.000 0.000
Ru 0.000 0.500 0.500
Ir 0.500 0.000 0.500

Summary:
magnetization	0.00	μB/atom
energy relative to the elements	119	kJ/mol of formula units
DFT total energy	-20.90	eV for the cell shown
Fermi-level density of states	3.6	states/eV/f.u.

CaIrRu2: optimized geometry, PBE-GGA.

Cell lengths 2.795, 3.784, 6.538 Å; angles 90.00, 90.00, 90.00 degrees
Positions (direct):
Ca 0.000 0.000 0.505
Ir 0.500 0.500 0.798
Ru 0.500 0.500 0.191
Ru 0.000 0.000 0.006

Summary:
magnetization	0.00	μB/atom
energy relative to the elements	97	kJ/mol of formula units
DFT total energy	-28.41	eV for the cell shown
Fermi-level density of states	4.9	states/eV/f.u.

Ca2IrRu2: optimized geometry, PBE-GGA.

Cell lengths 6.549, 6.549, 4.733 Å; angles 90.00, 90.00, 90.00 degrees
Positions (direct):
Ru 0.126 0.374 0.000
Ru 0.626 0.126 0.000
Ru 0.874 0.626 0.000
Ru 0.374 0.874 0.000
Ca 0.819 0.319 0.500
Ca 0.319 0.181 0.500
Ca 0.681 0.819 0.500
Ca 0.181 0.681 0.500
Ir 0.000 0.000 0.000
Ir 0.500 0.500 0.000

Summary:
magnetization	0.00	μB/atom
energy relative to the elements	22	kJ/mol of formula units
DFT total energy	-62.39	eV for the cell shown
Fermi-level density of states	4.5	states/eV/f.u.

CaIrRu2: optimized geometry, PBE-GGA.

Cell lengths 4.969, 4.969, 4.969 Å; angles 132.70, 132.70, 69.13 degrees
Positions (direct):
Ir 0.750 0.250 0.500
Ca 0.250 0.750 0.500
Ru 0.000 0.000 0.000
Ru 0.500 0.500 0.000

Summary:
magnetization	0.00	μB/atom
energy relative to the elements	160	kJ/mol of formula units
DFT total energy	-27.75	eV for the cell shown
Fermi-level density of states	6.0	states/eV/f.u.

Ca2IrRu: optimized geometry, PBE-GGA.

Cell lengths 4.825, 4.825, 5.604 Å; angles 81.58, 81.58, 37.05 degrees
Positions (direct):
Ca 0.499 0.499 0.500
Ca 0.001 0.001 0.000
Ir 0.750 0.750 0.750
Ru 0.250 0.250 0.250

Summary:
magnetization	0.00	μB/atom
energy relative to the elements	128	kJ/mol of formula units
DFT total energy	-20.81	eV for the cell shown
Fermi-level density of states	2.5	states/eV/f.u.

CaIrRu2: optimized geometry, PBE-GGA.

Cell lengths 2.905, 4.728, 4.739 Å; angles 90.00, 90.00, 90.00 degrees
Positions (direct):
Ru 0.000 0.000 0.000
Ru 0.500 0.500 0.000
Ca 0.500 0.000 0.500
Ir 0.000 0.500 0.500

Summary:
magnetization	0.35	μB/atom
energy relative to the elements	157	kJ/mol of formula units
DFT total energy	-27.79	eV for the cell shown
Fermi-level density of states	6.0	states/eV/f.u.

CaIrRu2: optimized geometry, PBE-GGA.

Cell lengths 4.979, 4.979, 2.742 Å; angles 90.00, 90.00, 110.28 degrees
Positions (direct):
Ru 0.000 0.000 0.000
Ru 0.500 0.500 0.000
Ir 0.000 0.500 0.500
Ca 0.500 0.000 0.500

Summary:
magnetization	0.00	μB/atom
energy relative to the elements	131	kJ/mol of formula units
DFT total energy	-28.05	eV for the cell shown
Fermi-level density of states	4.9	states/eV/f.u.

CaIr4Ru: optimized geometry, PBE-GGA.

Cell lengths 5.251, 5.251, 5.251 Å; angles 60.00, 60.00, 60.00 degrees
Positions (direct):
Ca 0.000 0.000 0.000
Ir 0.375 0.375 0.875
Ir 0.375 0.375 0.375
Ir 0.875 0.375 0.375
Ir 0.375 0.875 0.375
Ru 0.750 0.750 0.750

Summary:
magnetization	0.63	μB/atom
energy relative to the elements	115	kJ/mol of formula units
DFT total energy	-45.53	eV for the cell shown
Fermi-level density of states	10.3	states/eV/f.u.

Ca2IrRu: optimized geometry, PBE-GGA.

Cell lengths 10.321, 10.321, 7.668 Å; angles 47.70, 47.70, 90.00 degrees
Positions (direct):
Ca 0.961 0.625 0.250
Ca 0.789 0.125 0.250
Ca 0.875 0.039 0.750
Ca 0.375 0.211 0.750
Ru 0.500 0.500 0.000
Ru 0.250 0.750 0.500
Ir 0.000 0.000 0.000
Ir 0.750 0.250 0.500

Summary:
magnetization	0.10	μB/atom
energy relative to the elements	153	kJ/mol of formula units
DFT total energy	-41.11	eV for the cell shown
Fermi-level density of states	4.1	states/eV/f.u.

Ca2IrRu: optimized geometry, PBE-GGA.

Cell lengths 5.758, 5.758, 5.296 Å; angles 69.66, 69.66, 30.01 degrees
Positions (direct):
Ru 0.212 0.212 0.214
Ca 0.776 0.776 0.678
Ca 0.978 0.978 0.067
Ir 0.534 0.534 0.542

Summary:
magnetization	0.00	μB/atom
energy relative to the elements	12	kJ/mol of formula units
DFT total energy	-22.01	eV for the cell shown
Fermi-level density of states	3.2	states/eV/f.u.

CaIrRu: optimized geometry, PBE-GGA.

Cell lengths 4.432, 4.432, 4.432 Å; angles 60.00, 60.00, 60.00 degrees
Positions (direct):
Ru 0.000 0.000 0.000
Ca 0.500 0.500 0.500
Ir 0.750 0.750 0.750

Summary:
magnetization	0.17	μB/atom
energy relative to the elements	146	kJ/mol of formula units
DFT total energy	-18.63	eV for the cell shown
Fermi-level density of states	5.1	states/eV/f.u.

CaIrRu2: optimized geometry, PBE-GGA.

Cell lengths 4.890, 4.890, 4.890 Å; angles 131.01, 131.01, 71.80 degrees
Positions (direct):
Ir 0.750 0.250 0.500
Ca 0.500 0.500 0.000
Ru 0.250 0.750 0.500
Ru 0.000 0.000 0.000

Summary:
magnetization	0.17	μB/atom
energy relative to the elements	158	kJ/mol of formula units
DFT total energy	-27.78	eV for the cell shown
Fermi-level density of states	5.9	states/eV/f.u.

CaIrRu2: optimized geometry, PBE-GGA.

Cell lengths 5.064, 5.064, 5.041 Å; angles 77.75, 77.75, 32.65 degrees
Positions (direct):
Ru 0.522 0.522 0.447
Ru 0.978 0.978 0.053
Ca 0.750 0.750 0.750
Ir 0.250 0.250 0.250

Summary:
magnetization	0.00	μB/atom
energy relative to the elements	91	kJ/mol of formula units
DFT total energy	-28.48	eV for the cell shown
Fermi-level density of states	4.6	states/eV/f.u.

CaIrRu2: optimized geometry, PBE-GGA.

Cell lengths 2.820, 2.820, 8.372 Å; angles 90.00, 90.00, 90.00 degrees
Positions (direct):
Ru 0.000 0.000 0.536
Ru 0.000 0.000 0.964
Ir 0.500 0.500 0.750
Ca 0.500 0.500 0.250

Summary:
magnetization	0.00	μB/atom
energy relative to the elements	117	kJ/mol of formula units
DFT total energy	-28.20	eV for the cell shown
Fermi-level density of states	3.9	states/eV/f.u.

CaIrRu: optimized geometry, PBE-GGA.

Cell lengths 4.605, 4.605, 2.889 Å; angles 90.00, 90.00, 120.00 degrees
Positions (direct):
Ir 0.667 0.333 0.500
Ca 0.000 0.000 0.000
Ru 0.333 0.667 0.500

Summary:
magnetization	0.00	μB/atom
energy relative to the elements	72	kJ/mol of formula units
DFT total energy	-19.39	eV for the cell shown
Fermi-level density of states	4.5	states/eV/f.u.

Ca2IrRu: optimized geometry, PBE-GGA.

Cell lengths 5.201, 5.201, 5.201 Å; angles 130.55, 130.55, 72.52 degrees
Positions (direct):
Ca 0.500 0.500 0.000
Ca 0.000 0.000 0.000
Ru 0.750 0.250 0.500
Ir 0.250 0.750 0.500

Summary:
magnetization	0.26	μB/atom
energy relative to the elements	98	kJ/mol of formula units
DFT total energy	-21.12	eV for the cell shown
Fermi-level density of states	5.2	states/eV/f.u.

Ca2IrRu: optimized geometry, PBE-GGA.

Cell lengths 5.438, 5.438, 5.438 Å; angles 143.54, 125.55, 67.31 degrees
Positions (direct):
Ir 0.750 0.250 0.500
Ru 0.250 0.750 0.500
Ca 0.498 0.498 0.000
Ca 0.002 0.002 0.000

Summary:
magnetization	0.00	μB/atom
energy relative to the elements	118	kJ/mol of formula units
DFT total energy	-20.92	eV for the cell shown
Fermi-level density of states	3.0	states/eV/f.u.

CaIrRu2: optimized geometry, PBE-GGA.

Cell lengths 4.512, 4.512, 4.512 Å; angles 60.00, 60.00, 60.00 degrees
Positions (direct):
Ru 0.250 0.250 0.250
Ru 0.750 0.750 0.750
Ir 0.500 0.500 0.500
Ca 0.000 0.000 0.000

Summary:
magnetization	0.00	μB/atom
energy relative to the elements	189	kJ/mol of formula units
DFT total energy	-27.46	eV for the cell shown
Fermi-level density of states	7.5	states/eV/f.u.

CaIrRu2: optimized geometry, PBE-GGA.

Cell lengths 3.149, 3.149, 7.076 Å; angles 90.00, 90.00, 90.00 degrees
Positions (direct):
Ru 0.000 0.000 0.552
Ru 0.000 0.000 0.948
Ca 0.500 0.500 0.250
Ir 0.500 0.500 0.750

Summary:
magnetization	0.00	μB/atom
energy relative to the elements	154	kJ/mol of formula units
DFT total energy	-27.82	eV for the cell shown
Fermi-level density of states	5.0	states/eV/f.u.

Ca2IrRu: optimized geometry, PBE-GGA.

Cell lengths 4.747, 4.747, 3.544 Å; angles 90.00, 90.00, 90.00 degrees
Positions (direct):
Ca 0.500 0.500 0.000
Ca 0.000 0.000 0.000
Ru 0.000 0.500 0.500
Ir 0.500 0.000 0.500

Summary:
magnetization	0.15	μB/atom
energy relative to the elements	100	kJ/mol of formula units
DFT total energy	-21.11	eV for the cell shown
Fermi-level density of states	4.7	states/eV/f.u.

Ca2IrRu: optimized geometry, PBE-GGA.

Cell lengths 5.738, 5.439, 2.995 Å; angles 78.75, 81.26, 119.06 degrees
Positions (direct):
Ca 0.000 0.000 0.000
Ca 0.500 0.000 0.500
Ru 0.500 0.500 0.000
Ir 0.000 0.500 0.500

Summary:
magnetization	0.00	μB/atom
energy relative to the elements	117	kJ/mol of formula units
DFT total energy	-20.93	eV for the cell shown
Fermi-level density of states	3.4	states/eV/f.u.